1.
4
Lattice="0.000 3.843 3.843 3.843 0.000 3.843 3.843 3.843 0.000" Properties=species:S:1:pos:R:3 comment="LiPmNdBi PBE optimized geometry" m_tot_mub_per_fu=0.0 formation_enthalpy_0k_ev_per_atom=-0.3838 crystal_system=cubic space_group="F-43m, No. 216" pbc="T T T"
Li 0.000 0.000 0.000
Pm 5.765 5.765 5.765
Nd 1.922 1.922 1.922
Bi 3.843 3.843 3.843

=====

2.
7
Lattice="2.464 1.423 9.337 -2.464 1.423 9.337 0.000 -2.845 9.337" Properties=species:S:1:pos:R:3 comment="Li2PrNd2Bi2 PBE optimized geometry" m_tot_mub_per_fu=0.0 formation_enthalpy_0k_ev_per_atom=-0.4652 crystal_system=trigonal space_group="R-3m, No. 166" pbc="T T T"
Li 0.000 0.000 2.534
Li 0.000 0.000 25.476
Pr 0.000 0.000 14.005
Nd 0.000 0.000 10.337
Nd 0.000 0.000 17.673
Bi 0.000 0.000 6.595
Bi 0.000 0.000 21.414

=====

3.
7
Lattice="2.464 1.422 9.379 -2.464 1.422 9.379 0.000 -2.845 9.379" Properties=species:S:1:pos:R:3 comment="Li2Pr2NdBi2 PBE optimized geometry" m_tot_mub_per_fu=0.0 formation_enthalpy_0k_ev_per_atom=-0.4672 crystal_system=trigonal space_group="R-3m, No. 166" pbc="T T T"
Li 0.000 0.000 2.614
Li 0.000 0.000 25.522
Pr 0.000 0.000 10.398
Pr 0.000 0.000 17.738
Nd 0.000 0.000 14.068
Bi 0.000 0.000 6.580
Bi 0.000 0.000 21.556

=====

4.
4
Lattice="0.000 3.870 3.870 3.870 0.000 3.870 3.870 3.870 0.000" Properties=species:S:1:pos:R:3 comment="LiPrNdBi PBE optimized geometry" m_tot_mub_per_fu=0.0 formation_enthalpy_0k_ev_per_atom=-0.3959 crystal_system=cubic space_group="F-43m, No. 216" pbc="T T T"
Li 0.000 0.000 0.000
Pr 1.935 1.935 1.935
Nd 5.805 5.805 5.805
Bi 3.870 3.870 3.870

=====

5.
4
Lattice="0.000 3.451 3.451 3.451 0.000 3.451 3.451 3.451 0.000" Properties=species:S:1:pos:R:3 comment="LiNdBiRh PBE optimized geometry" m_tot_mub_per_fu=0.0 formation_enthalpy_0k_ev_per_atom=-0.6479 crystal_system=cubic space_group="F-43m, No. 216" pbc="T T T"
Li 0.000 0.000 0.000
Nd 1.725 1.725 1.725
Bi 5.176 5.176 5.176
Rh 3.451 3.451 3.451

=====

6.
8
Lattice="7.398 0.000 0.000 0.000 3.970 0.000 -2.475 0.000 7.205" Properties=species:S:1:pos:R:3 comment="LiNdBi2S4 PBE optimized geometry" m_tot_mub_per_fu=0.0 crystal_system=monoclinic space_group="P2/m, No. 10" e_form_raw_mev_per_atom=-863 pbc="T T T"
Li 0.000 0.000 0.000
Nd 2.461 1.985 3.602
Bi -1.238 1.985 3.602
Bi 3.699 0.000 0.000
S 1.788 1.985 0.765
S 0.586 0.000 4.465
S 4.336 0.000 2.740
S 3.135 1.985 6.439

=====

7.
5
Lattice="4.644 0.000 0.000 0.000 4.644 0.000 0.000 0.000 5.739" Properties=species:S:1:pos:R:3 comment="Li2NdBiS PBE optimized geometry" m_tot_mub_per_fu=0.0 crystal_system=tetragonal space_group="P4mm, No. 99" e_form_raw_mev_per_atom=-1100 pbc="T T T"
Li 0.000 2.322 0.000
Li 2.322 0.000 0.000
Nd 0.000 0.000 3.172
Bi 2.322 2.322 3.470
S 0.000 0.000 0.394

=====

8.
4
Lattice="0.000 3.834 3.834 3.834 0.000 3.834 3.834 3.834 0.000" Properties=species:S:1:pos:R:3 comment="LiNdSmBi PBE optimized geometry" m_tot_mub_per_fu=0.0 formation_enthalpy_0k_ev_per_atom=-0.3748 crystal_system=cubic space_group="F-43m, No. 216" pbc="T T T"
Li 0.000 0.000 0.000
Nd 1.917 1.917 1.917
Sm 5.751 5.751 5.751
Bi 3.834 3.834 3.834

=====

9.
7
Lattice="2.459 1.420 9.103 -2.459 1.420 9.103 0.000 -2.839 9.103" Properties=species:S:1:pos:R:3 comment="Li2TbNd2Bi2 PBE optimized geometry" m_tot_mub_per_fu=0.0 formation_enthalpy_0k_ev_per_atom=-0.4327 crystal_system=trigonal space_group="R-3m, No. 166" pbc="T T T"
Li 0.000 0.000 2.627
Li 0.000 0.000 24.681
Tb 0.000 0.000 13.654
Nd 0.000 0.000 10.120
Nd 0.000 0.000 17.188
Bi 0.000 0.000 6.325
Bi 0.000 0.000 20.983

=====

10.
4
Lattice="0.000 3.809 3.809 3.809 0.000 3.809 3.809 3.809 0.000" Properties=species:S:1:pos:R:3 comment="LiTbNdBi PBE optimized geometry" m_tot_mub_per_fu=0.0 formation_enthalpy_0k_ev_per_atom=-0.3457 crystal_system=cubic space_group="F-43m, No. 216" pbc="T T T"
Li 0.000 0.000 0.000
Tb 5.714 5.714 5.714
Nd 1.905 1.905 1.905
Bi 3.809 3.809 3.809

=====

11.
4
Lattice="0.000 3.826 3.826 3.826 0.000 3.826 3.826 3.826 0.000" Properties=species:S:1:pos:R:3 comment="LiNdTlBi PBE optimized geometry" m_tot_mub_per_fu=0.0 formation_enthalpy_0k_ev_per_atom=-0.3750 crystal_system=cubic space_group="F-43m, No. 216" pbc="T T T"
Li 0.000 0.000 0.000
Nd 3.826 3.826 3.826
Tl 1.913 1.913 1.913
Bi 5.739 5.739 5.739

=====

12.
4
Lattice="0.000 3.806 3.806 3.806 0.000 3.806 3.806 3.806 0.000" Properties=species:S:1:pos:R:3 comment="LiNdYBi PBE optimized geometry" m_tot_mub_per_fu=0.0 formation_enthalpy_0k_ev_per_atom=-0.3557 crystal_system=cubic space_group="F-43m, No. 216" pbc="T T T"
Li 0.000 0.000 0.000
Nd 5.709 5.709 5.709
Y 1.903 1.903 1.903
Bi 3.806 3.806 3.806

=====

13.
7
Lattice="2.445 1.411 9.073 -2.445 1.411 9.073 0.000 -2.823 9.073" Properties=species:S:1:pos:R:3 comment="Li2NdY2Bi2 PBE optimized geometry" m_tot_mub_per_fu=1.3 formation_enthalpy_0k_ev_per_atom=-0.4327 crystal_system=trigonal space_group="R-3m, No. 166" pbc="T T T"
Li 0.000 0.000 2.364
Li 0.000 0.000 24.854
Nd 0.000 0.000 13.609
Y 0.000 0.000 10.014
Y 0.000 0.000 17.204
Bi 0.000 0.000 6.457
Bi 0.000 0.000 20.761

=====

14.
5
Lattice="4.145 0.000 0.000 0.000 4.145 0.000 0.000 0.000 4.145" Properties=species:S:1:pos:R:3 comment="LiNi3Bi PBE optimized geometry" m_tot_mub_per_fu=0.1 formation_enthalpy_0k_ev_per_atom=0.5467 de_polymorph_mev_per_atom=0 crystal_system=cubic space_group="Pm-3m, No. 221" pbc="T T T"
Li 0.000 0.000 0.000
Ni 0.000 0.000 2.072
Ni 0.000 2.072 0.000
Ni 2.072 0.000 0.000
Bi 2.072 2.072 2.072

=====

15.
8
Lattice="-4.472 4.472 2.476 4.472 -4.472 2.476 4.472 4.472 -2.476" Properties=species:S:1:pos:R:3 comment="LiNiBi2 PBE optimized geometry" m_tot_mub_per_fu=0.0 formation_enthalpy_0k_ev_per_atom=-0.0228 de_polymorph_mev_per_atom=163 crystal_system=tetragonal space_group="I-42d, No. 122" pbc="T T T"
Li 0.000 0.000 0.000
Li 0.000 4.472 1.238
Ni 4.472 0.000 1.238
Ni 0.000 0.000 2.476
Bi 2.236 -1.170 1.857
Bi 3.303 2.236 0.619
Bi 2.236 5.642 -0.619
Bi 1.170 2.236 3.095

=====

16.
4
Lattice="4.820 0.000 0.000 0.000 4.820 0.000 0.000 0.000 3.599" Properties=species:S:1:pos:R:3 comment="LiNiBi2 PBE optimized geometry" m_tot_mub_per_fu=0.0 formation_enthalpy_0k_ev_per_atom=-0.0259 de_polymorph_mev_per_atom=160 crystal_system=tetragonal space_group="P4/mmm, No. 123" pbc="T T T"
Li 0.000 0.000 0.000
Ni 2.410 2.410 0.000
Bi 0.000 2.410 1.799
Bi 2.410 0.000 1.799

=====

17.
3
Lattice="4.468 0.000 0.000 -2.234 3.869 0.000 0.000 0.000 3.272" Properties=species:S:1:pos:R:3 comment="LiNiBi PBE optimized geometry" m_tot_mub_per_fu=0.0 formation_enthalpy_0k_ev_per_atom=-0.0664 crystal_system=trigonal space_group="P3m1, No. 156" pbc="T T T"
Li 0.000 0.000 0.000
Ni 0.000 2.580 1.628
Bi 2.234 1.290 1.634

=====

18.
5
Lattice="-2.572 2.572 3.879 2.572 -2.572 3.879 2.572 2.572 -3.879" Properties=species:S:1:pos:R:3 comment="LiNi2Bi2 PBE optimized geometry" m_tot_mub_per_fu=0.0 formation_enthalpy_0k_ev_per_atom=0.0869 de_polymorph_mev_per_atom=108 crystal_system=tetragonal space_group="I4/mmm, No. 139" pbc="T T T"
Li 0.000 0.000 0.000
Ni 0.000 0.000 2.723
Ni 0.000 0.000 5.035
Bi 2.572 0.000 1.940
Bi 0.000 2.572 1.940

=====

19.
6
Lattice="2.125 1.227 7.127 -2.125 1.227 7.127 0.000 -2.454 7.127" Properties=species:S:1:pos:R:3 comment="LiNiBi PBE optimized geometry" m_tot_mub_per_fu=0.0 formation_enthalpy_0k_ev_per_atom=-0.2346 crystal_system=trigonal space_group="R-3m, No. 166" pbc="T T T"
Li 0.000 0.000 0.000
Li 0.000 0.000 10.691
Ni 0.000 0.000 2.802
Ni 0.000 0.000 18.580
Bi 0.000 0.000 5.419
Bi 0.000 0.000 15.964

=====

20.
10
Lattice="7.707 0.000 0.000 0.000 7.707 0.000 0.000 0.000 3.308" Properties=species:S:1:pos:R:3 comment="LiNi2Bi2 PBE optimized geometry" m_tot_mub_per_fu=0.0 formation_enthalpy_0k_ev_per_atom=0.0699 de_polymorph_mev_per_atom=91 crystal_system=tetragonal space_group="P4/mbm, No. 127" pbc="T T T"
Li 0.000 0.000 0.000
Li 3.854 3.854 0.000
Ni 0.959 2.895 1.654
Ni 2.895 6.748 1.654
Ni 4.812 0.959 1.654
Ni 6.748 4.812 1.654
Bi 1.265 5.119 0.000
Bi 2.588 1.265 0.000
Bi 5.119 6.442 0.000
Bi 6.442 2.588 0.000

=====

no.,N(E_F) (states/eV per cell)
1,3.60
2,5.37
3,5.25
4,3.40
5,0.17
6,0.02
7,0.44
8,3.73
9,4.95
10,4.11
11,2.26
12,4.38
13,5.14
14,10.49
15,4.24
16,1.23
17,1.59
18,2.85
19,3.01
20,6.19